Bi3TePd | the Alexandria database | PBE | optimized geometry; final energy = -3.729 eV per atom; energy above the lowest structure with this stoichiometry = 385 meV/atom; formation energy (no corrections) = 0.27 eV/atom; SG = Pm-3m (221); M_tot = 0.000 μB per atom
1.0
5.415 0.000 0.000
0.000 5.415 0.000
0.000 0.000 5.415
Pd Bi Te
1 3 1
Cartesian
0.000 0.000 0.000
2.707 0.000 0.000
0.000 2.707 0.000
0.000 0.000 2.707
2.707 2.707 2.707